Record 1
This record from Alexandria via LeMat-Bulk describes an optimized crystal structure of NaCdReO2. The functional is GGA-PBE.

Calculated values
E_form (uncorrected)	-537	meV/atom
crystal system	tetragonal

a = 3.8615 Å, b = 3.8615 Å, c = 6.1683 Å
α = 90.00°, β = 90.00°, γ = 90.00°
Space group P4/mmm (No. 123)
One atom of each set of equivalent atoms:
Na 0.0000 0.0000 0.0000 (multiplicity 1)
Cd 0.5000 0.5000 0.0000 (multiplicity 1)
Re 0.0000 0.0000 0.5000 (multiplicity 1)
O 0.0000 0.5000 0.5000 (multiplicity 2)

=====

Record 2
This record from Alexandria via LeMat-Bulk describes an optimized crystal structure of SrTcBr2. The functional is GGA-PBE.

Calculated values
E_form (uncorrected)	-145	meV/atom
crystal system	tetragonal
offset from the most stable computed form	205.7	meV per atom

a = 5.0595 Å, b = 5.0595 Å, c = 3.8764 Å
α = 90.00°, β = 90.00°, γ = 90.00°
Space group P4/mmm (No. 123)
One atom of each set of equivalent atoms:
Sr 0.0000 0.0000 0.0000 (multiplicity 1)
Tc 0.5000 0.5000 0.0000 (multiplicity 1)
Br 0.0000 0.5000 0.5000 (multiplicity 2)

=====

Record 3
This record from Alexandria via LeMat-Bulk describes an optimized crystal structure of Fe2AgPdI. The functional is GGA-PBE.

Calculated values
E_form (uncorrected)	939	meV/atom
crystal system	tetragonal

a = 4.7627 Å, b = 4.7627 Å, c = 5.2097 Å
α = 90.00°, β = 90.00°, γ = 90.00°
Space group P4/mmm (No. 123)
One atom of each set of equivalent atoms:
Fe 0.0000 0.5000 0.0000 (multiplicity 2)
Ag 0.0000 0.0000 0.5000 (multiplicity 1)
Pd 0.0000 0.0000 0.0000 (multiplicity 1)
I 0.5000 0.5000 0.5000 (multiplicity 1)

=====

| no. | calculated volume (Å³/cell) |
| --- | --- |
| 1 | 92 |
| 2 | 99 |
| 3 | 118 |